A plane-wave DFT calculation with PBE-GGA was carried out for a relaxed NdDyY5 crystal.

```
NdDyY5
1.0
-3.590 -1.172 -5.066
4.437 -4.923 -0.027
-8.786 -6.921 3.886
Nd Dy Y
2 2 10
direct
0.081 0.250 0.839
0.919 0.750 0.161
0.333 0.250 0.333
0.667 0.750 0.667
0.229 0.361 0.089
0.179 0.501 0.589
0.354 0.750 0.292
0.232 0.999 0.589
0.318 0.861 0.911
0.682 0.139 0.089
0.768 0.001 0.411
0.646 0.250 0.708
0.821 0.499 0.411
0.771 0.639 0.911
```

formation energy: 0.200 eV/atom
spin magnetization: 0.000 μB/atom
space-group type: C2/c, No. 15
D(E_F): 9.54 states/eV/f.u.

=====

A plane-wave DFT calculation with PBE-GGA was carried out for a relaxed Cu2Pd8Au3 crystal.

```
Cu2Pd8Au3
1.0
-3.651 -2.696 -2.455
-0.633 -5.017 1.027
-7.740 -0.351 6.476
Cu Pd Au
2 8 3
direct
0.640 0.640 0.080
0.360 0.360 0.920
0.723 0.723 0.830
0.277 0.277 0.170
0.234 0.735 0.297
0.735 0.234 0.297
0.735 0.735 0.297
0.265 0.766 0.703
0.766 0.265 0.703
0.265 0.265 0.703
0.000 0.000 0.000
0.818 0.818 0.546
0.182 0.182 0.454
```

energy above the lowest structure with this stoichiometry: 199 meV/atom
formation energy: 0.213 eV/atom
spin magnetization: 0.000 μB/atom
space-group type: R-3m, No. 166
D(E_F): 14.72 states/eV/f.u.

=====

A plane-wave DFT calculation with PBE-GGA was carried out for a relaxed TlSiHSe crystal.

```
TlSiHSe
1.0
4.425 -0.071 0.015
-0.593 4.701 0.006
-1.719 -2.397 4.904
Tl Si H Se
1 1 1 1
direct
0.219 0.847 0.393
0.216 0.233 0.158
0.551 0.252 0.136
0.868 0.846 0.729
```

energy above the lowest structure with this stoichiometry: 97 meV/atom
spin magnetization: 0.000 μB/atom
space-group type: P1, No. 1

=====

A plane-wave DFT calculation with PBE-GGA was carried out for a relaxed Ti2PC crystal.

```
Ti2PC
1.0
3.220 0.000 0.000
-1.610 2.786 -0.001
0.000 -1.858 5.676
Ti P C
2 1 1
direct
0.265 0.031 0.296
0.735 0.969 0.704
0.500 0.500 0.000
0.000 0.500 0.500
```

formation energy: -0.910 eV/atom
spin magnetization: 0.000 μB/atom
space-group type: R-3m, No. 166
D(E_F): 2.51 states/eV/f.u.

=====

A plane-wave DFT calculation with PBE-GGA was carried out for a relaxed Dy2ErThSe4 crystal.

```
Dy2ErThSe4
1.0
4.056 0.000 0.000
0.000 7.088 -0.155
0.000 2.483 6.736
Dy Er Th Se
2 1 1 4
direct
0.000 0.000 0.000
0.500 0.000 0.500
0.000 0.500 0.500
0.500 0.500 0.000
0.000 0.758 0.739
0.000 0.242 0.261
0.500 0.752 0.258
0.500 0.248 0.742
```

total energy: -6.056 eV/atom
spin magnetization: 0.000 μB/atom
space-group type: P2/m, No. 10
D(E_F): 4.23 states/eV/f.u.

=====

A plane-wave DFT calculation with PBE-GGA was carried out for a relaxed Mg4MnTc crystal.

```
Mg4MnTc
1.0
0.000 3.822 3.822
3.822 0.000 3.822
3.822 3.822 0.000
Mg Mn Tc
4 1 1
direct
0.877 0.374 0.374
0.374 0.374 0.877
0.374 0.877 0.374
0.374 0.374 0.374
0.750 0.750 0.750
0.000 0.000 0.000
```

formation energy: 0.583 eV/atom
spin magnetization: 0.373 μB/atom
space-group type: F-43m, No. 216
D(E_F): 5.48 states/eV/f.u.

=====

Copy entry 4 word for word.
A plane-wave DFT calculation with PBE-GGA was carried out for a relaxed Ti2PC crystal.

```
Ti2PC
1.0
3.220 0.000 0.000
-1.610 2.786 -0.001
0.000 -1.858 5.676
Ti P C
2 1 1
direct
0.265 0.031 0.296
0.735 0.969 0.704
0.500 0.500 0.000
0.000 0.500 0.500
```

formation energy: -0.910 eV/atom
spin magnetization: 0.000 μB/atom
space-group type: R-3m, No. 166
D(E_F): 2.51 states/eV/f.u.

=====

- Which value of spin magnetization does entry 4 give?
  0.000 μB/atom

=====

- Among the records above, which one has the highest spin magnetization?
  Mg4MnTc